{
  "formula": "La2AlCrO6",
  "functional": "PBE+U",
  "state": "relaxed",
  "total_energy_ev_per_cell": -161.47,
  "mass_density_g_cm3": 6.43,
  "dos_at_fermi_per_ev_atom": 0.000,
  "volume_a3_per_cell": 233.8,
  "lattice": [[5.5059, 0.0000, 0.0000], [0.0000, 5.4786, 0.0000], [-5.4929, 0.0000, 7.7516]],
  "species": ["La", "La", "La", "La", "Al", "Al", "Cr", "Cr", "O", "O", "O", "O", "O", "O", "O", "O", "O", "O", "O", "O"],
  "fractional_positions": [[0.2448, 0.0180, 0.2495], [0.2448, 0.4820, 0.7495], [0.7552, 0.5180, 0.2505], [0.7552, 0.9820, 0.7505], [0.0000, 0.0000, 0.5000], [0.0000, 0.5000, 0.0000], [0.5000, 0.0000, 0.0000], [0.5000, 0.5000, 0.5000], [0.1871, 0.2335, 0.9646], [0.1871, 0.2665, 0.4646], [0.2298, 0.7239, 0.9652], [0.2298, 0.7761, 0.4652], [0.3101, 0.0076, 0.7440], [0.3101, 0.4924, 0.2440], [0.6899, 0.5076, 0.7560], [0.6899, 0.9924, 0.2560], [0.7702, 0.2239, 0.5348], [0.7702, 0.2761, 0.0348], [0.8129, 0.7335, 0.5354], [0.8129, 0.7665, 0.0354]]
}